A plane-wave DFT calculation with PBEsol was carried out for an optimized crystal structure of In2Pb.

Cell and atoms, written as POSCAR:
```
In2Pb
1.0
3.252 0.000 0.000
0.000 3.252 0.000
-1.626 -1.626 15.561
In Pb
4 2
Cartesian
1.626 0.000 10.330
1.626 1.626 2.550
1.626 0.000 5.231
0.000 0.000 13.011
0.000 1.626 7.780
0.000 0.000 0.000
```

## Properties
E (eV per atom): -3.286
Energy above the lowest structure with this stoichiometry (eV per atom): 0.025
Crystal system: tetragonal
Total magnetization (μB per atom): 0.00